# PBE TaBeSb2, relaxed
data_TaBeSb2
_cell_length_a 4.851
_cell_length_b 4.851
_cell_length_c 4.851
_cell_angle_alpha 60.00
_cell_angle_beta 60.00
_cell_angle_gamma 60.00
_space_group_name_H-M_alt 'P 1'
_space_group_IT_number 1
loop_
_space_group_symop_operation_xyz
'x,y,z'
loop_
_atom_site_label
_atom_site_fract_x
_atom_site_fract_y
_atom_site_fract_z
_atom_site_occupancy
Sb1 0.000 0.000 0.000 1
Sb2 0.250 0.250 0.250 1
Be1 0.500 0.500 0.500 1
Ta1 0.750 0.750 0.750 1
# Space-group type   No. 216
# V   80.73 Å³ per cell
# Uncorrected energy   -5.068 eV per atom